A relaxed structure of Ac2TmSb, computed with GGA-PBE.

space group: Fm-3m
ΔE to the lowest computed polymorph: 202 meV per atom
energy: -4.40 eV per atom
E_form (uncorrected): -0.20 eV per atom
volume: 35.453 Å³/atom

abc: 5.8526 5.8526 5.8542
angles: 60.01 60.01 60.00
Closest atoms and distances in Å follow each position.
Sites, in units of the cell vectors:
1 Ac 0.2500 0.2500 0.2501  4 Sb 3.58-3.59, 4 Tm 3.58
2 Ac 0.7500 0.7500 0.7499  4 Sb 3.58-3.59, 4 Tm 3.58
3 Sb 0.5000 0.5000 0.5000  8 Ac 3.58-3.59
4 Tm 0.0000 0.0000 0.0000  8 Ac 3.58